1.
# TeAs2Cl | the Alexandria database | GGA-PBE | relaxed
data_TeAs2Cl
_chemical_formula_sum 'Te2 As4 Cl2'
_space_group_name_H-M_alt 'C m m m'
_space_group_IT_number 65
_space_group_name_Hall '-C 2 2'
_cell_length_a 3.541
_cell_length_b 5.831
_cell_length_c 8.885
_cell_angle_alpha 90.00
_cell_angle_beta 90.00
_cell_angle_gamma 90.00
loop_
_atom_site_label
_atom_site_fract_x
_atom_site_fract_y
_atom_site_fract_z
Te1 0.000 0.000 0.000
As1 0.000 0.500 0.253
Cl1 0.000 0.000 0.500
# Raw total energy (eV per atom): -3.21
# Density (g/cm³): 5.66
# Formation energy from raw total energies (eV per formula unit): 1.47
# Crystal system: orthorhombic


2.
# BaCuO3 | the Alexandria database | GGA-PBE | relaxed
data_BaCuO3
_chemical_formula_sum 'Ba1 Cu1 O3'
_space_group_name_H-M_alt 'P m -3 m'
_space_group_IT_number 221
_space_group_name_Hall '-P 4 2 3'
_cell_length_a 4.470
_cell_length_b 4.470
_cell_length_c 4.470
_cell_angle_alpha 90.00
_cell_angle_beta 90.00
_cell_angle_gamma 90.00
loop_
_atom_site_label
_atom_site_fract_x
_atom_site_fract_y
_atom_site_fract_z
Ba1 0.000 0.000 0.000
Cu1 0.500 0.500 0.500
O1 0.000 0.000 0.500
# Raw total energy (eV per atom): -3.87
# Density (g/cm³): 4.63
# Formation energy from raw total energies (eV per formula unit): 1.54
# Crystal system: cubic


3.
# NbRu3Au | the Alexandria database | GGA-PBE | relaxed
data_NbRu3Au
_chemical_formula_sum 'Nb1 Ru3 Au1'
_space_group_name_H-M_alt 'P m -3 m'
_space_group_IT_number 221
_space_group_name_Hall '-P 4 2 3'
_cell_length_a 4.696
_cell_length_b 4.696
_cell_length_c 4.696
_cell_angle_alpha 90.00
_cell_angle_beta 90.00
_cell_angle_gamma 90.00
loop_
_atom_site_label
_atom_site_fract_x
_atom_site_fract_y
_atom_site_fract_z
Nb1 0.000 0.000 0.000
Ru1 0.000 0.000 0.500
Au1 0.500 0.500 0.500
# Raw total energy (eV per atom): -6.69
# Energy of formation from the pure elements (eV per atom): 1.544
# Density (g/cm³): 9.51
# Crystal system: cubic


4.
# Pa2SeI6 | the Alexandria database | GGA-PBE | relaxed
data_Pa2SeI6
_chemical_formula_sum 'Pa4 Se2 I12'
_space_group_name_H-M_alt 'C 1 2/m 1'
_space_group_IT_number 12
_space_group_name_Hall '-C 2y'
_cell_length_a 17.892
_cell_length_b 3.727
_cell_length_c 13.787
_cell_angle_alpha 90.00
_cell_angle_beta 121.83
_cell_angle_gamma 90.00
loop_
_atom_site_label
_atom_site_fract_x
_atom_site_fract_y
_atom_site_fract_z
Pa1 0.045 0.000 0.189
Se1 0.000 0.500 0.000
I1 0.096 0.500 0.401
I2 0.117 0.500 0.866
I3 0.208 0.500 0.243
# Raw total energy (eV per atom): -4.43
# Density (g/cm³): 5.54
# Formation energy from raw total energies (eV per formula unit): -8.12
# Crystal system: monoclinic